Record 1
SrLa2Os: optimized geometry, PBE-GGA.

Output
The value obtained for the energy of formation is -0.059 eV/atom. The value obtained for the density is 5.97 g cm⁻³.

Cell: 4.2725 4.2725 10.0800 Å, 77.76 77.76 60.00°
Sites, in units of the cell vectors:
La1 0.2836 0.2836 0.1492
La2 0.0491 0.0491 0.8527
Sr1 0.5012 0.5012 0.4964
Os1 0.6661 0.6661 0.0017

Record 2
La3PmSm4: optimized geometry, PBE-GGA.

Output
The value obtained for the energy of formation is 0.017 eV/atom. The value obtained for the density is 6.89 g cm⁻³.

Cell: 7.3222 7.3288 10.4479 Å, 90.00 90.00 90.00°
Sites, in units of the cell vectors:
Sm1 0.0644 0.2501 0.7497
Sm2 0.0644 0.2501 0.2503
Sm3 0.3141 0.0000 0.0000
Sm4 0.3140 0.5000 0.0000
Sm5 0.5644 0.7499 0.2497
Sm6 0.5644 0.7499 0.7503
Sm7 0.8140 0.5000 0.5000
Sm8 0.8141 0.0000 0.5000
La1 0.0644 0.7485 0.2506
La2 0.8149 0.0000 0.0000
La3 0.5644 0.2515 0.7506
La4 0.5644 0.2515 0.2494
La5 0.0644 0.7485 0.7494
La6 0.3149 0.0000 0.5000
Pm1 0.8147 0.5001 0.0000
Pm2 0.3147 0.4999 0.5000

Record 3
Tl2MoOs: optimized geometry, PBE-GGA.

Output
The value obtained for the energy of formation is 0.442 eV/atom. The value obtained for the density is 13.62 g cm⁻³.

Cell: 3.0846 3.0846 8.9068 Å, 90.00 90.00 90.00°
Sites, in units of the cell vectors:
Os1 0.5000 0.5000 0.7014
Tl1 0.0000 0.0000 0.9596
Tl2 0.5000 0.5000 0.2915
Mo1 0.0000 0.0000 0.5475

Copy entry 2 word for word.
La3PmSm4: optimized geometry, PBE-GGA.

Output
The value obtained for the energy of formation is 0.017 eV/atom. The value obtained for the density is 6.89 g cm⁻³.

Cell: 7.3222 7.3288 10.4479 Å, 90.00 90.00 90.00°
Sites, in units of the cell vectors:
Sm1 0.0644 0.2501 0.7497
Sm2 0.0644 0.2501 0.2503
Sm3 0.3141 0.0000 0.0000
Sm4 0.3140 0.5000 0.0000
Sm5 0.5644 0.7499 0.2497
Sm6 0.5644 0.7499 0.7503
Sm7 0.8140 0.5000 0.5000
Sm8 0.8141 0.0000 0.5000
La1 0.0644 0.7485 0.2506
La2 0.8149 0.0000 0.0000
La3 0.5644 0.2515 0.7506
La4 0.5644 0.2515 0.2494
La5 0.0644 0.7485 0.7494
La6 0.3149 0.0000 0.5000
Pm1 0.8147 0.5001 0.0000
Pm2 0.3147 0.4999 0.5000

Question: Look up the energy of formation of the first one.
Answer: -0.059 eV/atom